# 1
An optimized crystal structure of Cs4CuF5. Source: Alexandria, functional GGA-PBE.

The structure in POSCAR format:
```
Cs4CuF5
1.0
-3.761 1.440 1.411
0.323 -1.018 8.350
1.271 8.187 1.486
Cs F Cu
4 5 1
Cartesian
-0.840 6.638 3.881
-1.603 6.476 8.463
-1.320 1.968 7.363
-0.557 2.131 2.781
-3.118 0.935 3.626
0.959 7.671 7.618
-1.877 0.718 0.704
-2.843 3.603 1.638
0.684 5.003 9.607
-3.757 1.438 1.410
```

Calculated values
energy relative to the lowest polymorph listed for this composition = 0.052 eV per atom
magnetic moment = 0.0148 μB per atom
symmetry = Immm, No. 71



# 2
An optimized crystal structure of Cs3CuF. Source: Alexandria, functional GGA-PBE.

The structure in POSCAR format:
```
Cs3CuF
1.0
5.973 0.000 0.000
0.000 5.973 0.000
0.000 0.000 5.973
Cu Cs F
1 3 1
Cartesian
2.987 2.987 2.987
0.000 2.987 0.000
2.987 0.000 0.000
0.000 0.000 2.987
0.000 0.000 0.000
```

Calculated values
energy relative to the lowest polymorph listed for this composition = 0.000 eV per atom
magnetic moment = 0.0000 μB per atom
symmetry = Pm-3m, No. 221



# 3
An optimized crystal structure of Cs2Cu2F5. Source: Alexandria, functional GGA-PBE.

The structure in POSCAR format:
```
Cs2Cu2F5
1.0
-0.723 0.543 3.996
3.724 -4.864 -0.766
4.765 5.649 0.094
Cu F Cs
2 5 2
Cartesian
5.233 3.650 0.451
2.533 -2.323 2.874
5.166 3.910 2.504
0.000 0.000 0.000
2.599 -2.582 0.821
3.862 -0.861 2.916
3.904 2.189 0.409
1.814 1.174 2.269
5.952 0.154 1.056
```

Calculated values
energy relative to the lowest polymorph listed for this composition = 0.013 eV per atom
magnetic moment = 0.1121 μB per atom
symmetry = C2/m, No. 12



# 4
An optimized crystal structure of CsCu2F6. Source: Alexandria, functional GGA-PBE.

The structure in POSCAR format:
```
CsCu2F6
1.0
-7.125 0.875 1.472
-4.722 -5.428 -1.393
-3.078 -3.689 5.533
F Cu Cs
12 4 2
Cartesian
-5.790 -3.956 3.847
-7.592 -6.027 3.315
-10.149 -6.680 2.607
-9.522 -6.017 5.250
-12.240 -5.683 5.811
-6.418 -4.620 1.204
-7.334 -2.215 2.297
-9.136 -4.286 1.766
-12.868 -6.346 3.169
-11.066 -4.276 3.700
-11.324 -8.088 4.718
-8.509 -3.623 4.408
-7.790 -3.307 0.741
-9.329 -5.151 3.508
-5.766 -5.589 2.772
-6.968 -2.437 4.204
-3.732 -2.061 1.403
0.000 0.000 0.000
```

Calculated values
energy relative to the lowest polymorph listed for this composition = 0.000 eV per atom
magnetic moment = 0.0003 μB per atom
symmetry = Fd-3m, No. 227



# 5
An optimized crystal structure of CsCuF5. Source: Alexandria, functional GGA-PBE.

The structure in POSCAR format:
```
CsCuF5
1.0
5.594 1.071 1.380
3.512 4.484 1.380
-0.425 -0.259 11.033
Cs F Cu
2 10 2
Cartesian
4.340 2.648 6.896
0.000 0.000 0.000
8.030 4.897 10.590
0.651 0.398 3.202
2.403 1.467 1.673
4.992 3.044 10.098
1.958 1.193 8.964
6.278 3.828 12.119
1.936 1.182 5.223
6.744 4.113 8.569
6.722 4.102 4.828
3.688 2.251 3.694
2.170 1.325 3.448
6.511 3.971 10.344
```

Calculated values
magnetic moment = 0.0000 μB per atom
symmetry = C2/m, No. 12



# 6
An optimized crystal structure of CsCuF2. Source: Alexandria, functional GGA-PBE.

The structure in POSCAR format:
```
CsCuF2
1.0
-2.267 2.538 3.084
-4.300 1.362 -0.862
-4.449 -4.082 3.510
Cs Cu F
1 1 2
Cartesian
-5.508 -0.091 2.866
0.000 0.000 0.000
-7.199 2.395 2.996
-3.817 -2.576 2.735
```

Calculated values
energy relative to the lowest polymorph listed for this composition = 0.000 eV per atom
magnetic moment = 0.0322 μB per atom
symmetry = R-3m, No. 166



# 7
An optimized crystal structure of CsCu2F. Source: Alexandria, functional GGA-PBE.

The structure in POSCAR format:
```
CsCu2F
1.0
-0.435 -3.114 2.060
2.993 0.949 2.067
-7.197 6.053 11.061
F Cu Cs
2 4 2
Cartesian
-1.462 2.960 7.596
1.279 -1.082 2.064
-1.696 -0.306 4.305
-4.430 3.731 9.850
0.016 1.708 4.321
-3.168 2.643 11.901
-3.176 0.928 7.593
0.000 0.000 0.000
```

Calculated values
energy relative to the lowest polymorph listed for this composition = 0.000 eV per atom
magnetic moment = 0.0000 μB per atom
symmetry = I-42d, No. 122



# 8
An optimized crystal structure of Cs3Cu2F9. Source: Alexandria, functional GGA-PBE.

The structure in POSCAR format:
```
Cs3Cu2F9
1.0
8.142 0.077 0.812
0.743 8.109 0.812
0.083 0.077 8.182
Cs F Cu
6 18 4
Cartesian
3.854 6.120 1.723
2.757 7.395 5.814
7.824 4.922 3.264
1.144 3.341 6.543
5.114 2.143 8.084
6.212 0.867 3.993
7.434 0.494 6.891
4.210 4.948 7.007
2.203 0.894 8.097
1.535 7.769 2.916
5.720 7.290 7.355
6.637 5.104 8.358
7.969 2.123 1.788
2.460 4.471 3.927
4.758 3.314 2.800
6.509 3.791 5.879
1.146 2.066 3.454
3.249 0.973 2.452
6.766 7.369 1.710
3.497 2.086 4.989
0.999 6.140 8.018
2.332 3.158 1.449
5.472 6.177 4.818
7.823 6.197 6.352
1.457 1.342 1.593
3.028 2.789 3.311
5.941 5.473 6.496
7.512 6.921 8.214
```

Calculated values
magnetic moment = 0.2737 μB per atom
symmetry = R-3c, No. 167



# 9
An optimized crystal structure of Cs3Cu2F6. Source: Alexandria, functional GGA-PBE.

The structure in POSCAR format:
```
Cs3Cu2F6
1.0
4.178 0.000 0.000
0.000 4.178 0.000
-2.089 -2.089 12.383
F Cu Cs
6 2 3
Cartesian
2.089 0.000 2.195
2.089 2.089 4.630
2.089 0.000 10.188
0.000 0.000 7.753
0.000 2.089 2.195
0.000 2.089 10.188
2.089 2.089 2.490
0.000 0.000 9.892
2.089 2.089 7.782
0.000 0.000 0.000
0.000 0.000 4.600
```

Calculated values
magnetic moment = 0.0905 μB per atom
symmetry = I4/mmm, No. 139



# 10
An optimized crystal structure of Cs3Cu5F12. Source: Alexandria, functional GGA-PBE.

The structure in POSCAR format:
```
Cs3Cu5F12
1.0
-5.028 -0.557 10.963
9.172 -7.828 -0.624
4.108 11.180 -1.980
F Cu Cs
48 20 12
Cartesian
2.678 -2.885 6.667
3.241 4.197 -0.005
1.941 -2.450 4.045
8.202 3.605 6.446
-0.154 7.225 5.241
9.506 -2.537 -0.487
4.147 -0.289 5.393
6.225 -2.682 -0.651
6.703 -7.188 2.994
6.311 5.245 4.314
-0.494 -0.587 5.103
-0.060 9.003 8.006
4.117 -4.483 4.940
1.221 5.757 3.354
7.732 0.176 -0.366
1.422 8.948 2.812
6.830 -6.153 5.547
5.662 -4.012 7.752
2.187 0.773 3.770
4.105 3.084 2.966
6.080 2.689 0.424
0.551 4.744 6.216
2.546 7.332 7.036
0.520 2.619 8.725
8.406 -4.430 3.119
8.746 3.382 3.256
4.455 4.999 7.793
6.065 2.022 4.589
4.135 7.278 3.420
2.590 6.807 0.607
7.031 -2.962 5.005
2.027 5.477 9.010
5.707 -4.537 1.323
1.978 0.478 0.420
4.552 0.423 2.394
5.574 5.680 1.692
1.549 9.983 5.366
5.026 0.462 -0.815
2.172 0.106 7.935
5.011 -1.402 8.364
0.050 -0.810 1.913
8.312 -6.208 0.354
3.700 2.372 5.965
3.227 2.333 9.174
3.797 -2.204 0.566
7.701 -1.949 2.143
-1.254 5.332 8.846
6.274 2.317 7.939
4.750 3.913 1.269
4.586 -3.914 -0.312
7.282 -5.591 1.947
0.970 8.386 6.412
6.640 1.676 -1.302
5.910 -4.402 5.811
7.331 3.563 4.652
-0.460 5.311 4.492
2.054 5.590 -0.990
4.126 1.397 4.180
0.921 -0.768 3.708
7.791 -1.748 0.160
3.502 -1.118 7.090
4.414 3.005 7.718
0.461 4.543 8.199
2.072 -4.192 5.170
3.838 -0.210 0.641
2.342 7.197 2.548
-2.514 -0.279 5.482
0.000 0.000 0.000
5.259 7.756 -0.518
10.478 1.466 -0.661
8.070 4.751 0.618
6.822 -0.280 6.439
4.874 -2.306 3.226
3.378 5.101 5.133
1.430 3.075 1.920
2.993 -4.961 8.877
7.561 0.908 2.406
0.691 1.887 5.954
0.182 -1.956 7.741
-2.226 1.329 9.020
```

Calculated values
magnetic moment = 0.2022 μB per atom
symmetry = Ia-3d, No. 230



Number 1: uncorrected formation energy -2.16 eV per atom, calculated total energy -3.852 eV per atom, theoretical density 4.1 g/cm³. Number 2: uncorrected formation energy -0.83 eV per atom, calculated total energy -2.534 eV per atom, theoretical density 3.7 g/cm³. Number 3: uncorrected formation energy -1.95 eV per atom, calculated total energy -4.089 eV per atom, theoretical density 4.7 g/cm³. Number 4: uncorrected formation energy -1.85 eV per atom, calculated total energy -4.098 eV per atom, theoretical density 4.5 g/cm³. Number 5: uncorrected formation energy -1.70 eV per atom, calculated total energy -3.741 eV per atom, theoretical density 4.1 g/cm³. Number 6: uncorrected formation energy -1.93 eV per atom, calculated total energy -4.098 eV per atom, theoretical density 3.3 g/cm³. Number 7: uncorrected formation energy -0.51 eV per atom, calculated total energy -3.240 eV per atom, theoretical density 4.6 g/cm³. Number 8: uncorrected formation energy -2.07 eV per atom, calculated total energy -4.039 eV per atom, theoretical density 4.3 g/cm³. Number 9: uncorrected formation energy -2.09 eV per atom, calculated total energy -4.093 eV per atom, theoretical density 4.9 g/cm³. Number 10: uncorrected formation energy -1.81 eV per atom, calculated total energy -4.084 eV per atom, theoretical density 4.6 g/cm³.